No. 1
Below is a geometry-optimized PrPbF structure, with properties calculated at the PBE level.

a b c (Å): 5.4355 4.0782 4.0782
angles (deg): 120.00 90.00 90.00
Last column: nearest neighbours and their distance in Å.
Fractional positions:
Pr 0.1665 0.0000 0.0000  3 F 2.35
F 0.1670 0.3333 0.6667  3 Pr 2.35
Pb 0.6665 0.6667 0.3333  6 F 3.59-3.60, 6 Pr 3.60

ΔE_f (raw) (eV/f.u.): -5.5
E above lowest polymorph (meV/atom): 0.0
Space-group type: P-6m2
Density (g/cm³): 7.79
Total magnetization (μB/atom): 0.000
Density of states at the Fermi level (states/eV/cell): 1.3


No. 2
Below is a geometry-optimized Li4TlRh structure, with properties calculated at the PBE level.

a b c (Å): 4.9889 4.9889 4.9889
angles (deg): 60.00 60.00 60.00
Last column: nearest neighbours and their distance in Å.
Fractional positions:
Li 0.8692 0.3769 0.3769  6 Li 2.46-2.53
Li 0.3769 0.3769 0.8692  6 Li 2.46-2.53
Li 0.3769 0.8692 0.3769  6 Li 2.46-2.53
Li 0.3769 0.3769 0.3769  6 Li 2.46-2.53
Rh 0.7500 0.7500 0.7500  12 Li 2.92, 4 Tl 3.06
Tl 0.0000 0.0000 0.0000  12 Li 2.93, 4 Rh 3.06

E above lowest polymorph (meV/atom): 144.2
Space-group type: F-43m
Density (g/cm³): 6.34
Total magnetization (μB/atom): 0.000
Density of states at the Fermi level (states/eV/cell): 2.5
Energy of formation from the pure elements (meV/atom): -51


No. 3
Below is a geometry-optimized Zr2Mn2Rh structure, with properties calculated at the PBE level.

a b c (Å): 6.3798 6.3798 4.0484
angles (deg): 90.00 90.00 90.00
Last column: nearest neighbours and their distance in Å.
Fractional positions:
Mn 0.1100 0.3900 0.0000  1 Mn 1.99
Zr 0.6835 0.8165 0.5000  6 Mn 2.75-2.80
Zr 0.8165 0.3165 0.5000  6 Mn 2.75-2.80
Zr 0.1835 0.6835 0.5000  6 Mn 2.75-2.80
Mn 0.6100 0.1100 0.0000  1 Mn 1.99
Rh 0.0000 0.0000 0.0000  4 Mn 2.59
Mn 0.3900 0.8900 0.0000  1 Mn 1.99
Mn 0.8900 0.6100 0.0000  1 Mn 1.99
Rh 0.5000 0.5000 0.0000  4 Mn 2.59
Zr 0.3165 0.1835 0.5000  6 Mn 2.75-2.80

Space-group type: P4/mbm
Density (g/cm³): 7.97
Total magnetization (μB/atom): 0.000
Density of states at the Fermi level (states/eV/cell): 9.8
Energy of formation from the pure elements (meV/atom): -187


No. 4
Below is a geometry-optimized Mg2AlB10 structure, with properties calculated at the PBE level.

a b c (Å): 4.1751 5.9648 10.7367
angles (deg): 90.00 90.00 90.00
Last column: nearest neighbours and their distance in Å.
Fractional positions:
B 0.6987 0.2213 0.1183  4 B 1.66-1.78
B 0.0000 0.0624 0.1958  4 B 1.66-1.78
Al 0.0000 0.0000 0.0000  8 B 2.13-2.30
B 0.0000 0.3786 0.0391  4 B 1.67-1.78
B 0.0000 0.5624 0.3042  4 B 1.66-1.78
Mg 0.5000 0.1151 0.3459  10 B 2.52-2.81
B 0.3013 0.7213 0.3817  4 B 1.66-1.78
B 0.0000 0.9376 0.8042  4 B 1.66-1.78
B 0.6987 0.7787 0.8817  4 B 1.66-1.78
Mg 0.5000 0.6151 0.1541  10 B 2.52-2.81
B 0.0000 0.4376 0.6958  4 B 1.66-1.78
Al 0.0000 0.5000 0.5000  8 B 2.13-2.30
B 0.6987 0.7213 0.3817  4 B 1.66-1.78
B 0.3013 0.2787 0.6183  4 B 1.66-1.78
B 0.0000 0.6214 0.9609  4 B 1.67-1.78
B 0.3013 0.2213 0.1183  4 B 1.66-1.78
B 0.0000 0.6455 0.7989  5 B 1.66-1.75
B 0.3013 0.7787 0.8817  4 B 1.66-1.78
B 0.0000 0.3545 0.2011  5 B 1.66-1.75
Mg 0.5000 0.3849 0.8459  10 B 2.52-2.81
B 0.6987 0.2787 0.6183  4 B 1.66-1.78
Mg 0.5000 0.8849 0.6541  10 B 2.52-2.81
B 0.0000 0.8545 0.2989  5 B 1.66-1.75
B 0.0000 0.1214 0.5391  4 B 1.67-1.78
B 0.0000 0.8786 0.4609  4 B 1.67-1.78
B 0.0000 0.1455 0.7011  5 B 1.66-1.75

Space-group type: Pbam
Density (g/cm³): 2.28
Total magnetization (μB/atom): 0.000
Density of states at the Fermi level (states/eV/cell): 4.2
Energy of formation from the pure elements (meV/atom): 50


No. 5
Below is a geometry-optimized PrHgBiPd structure, with properties calculated at the PBE level.

a b c (Å): 5.2070 5.2070 5.2070
angles (deg): 60.00 60.00 60.00
Last column: nearest neighbours and their distance in Å.
Fractional positions:
Hg 0.0000 0.0000 0.0000  4 Pr 3.19, 4 Bi 3.19
Pd 0.5000 0.5000 0.5000  4 Pr 3.19, 4 Bi 3.19
Bi 0.2500 0.2500 0.2500  4 Hg 3.19, 4 Pd 3.19
Pr 0.7500 0.7500 0.7500  4 Hg 3.19, 4 Pd 3.19

Space-group type: F-43m
Density (g/cm³): 10.93
Total magnetization (μB/atom): 0.000
Density of states at the Fermi level (states/eV/cell): 1.0
Energy of formation from the pure elements (meV/atom): -524


No. 6
Below is a geometry-optimized SmBPd3 structure, with properties calculated at the PBE level.

a b c (Å): 4.3570 4.3570 4.3570
angles (deg): 90.00 90.00 90.00
Last column: nearest neighbours and their distance in Å.
Fractional positions:
B 0.5000 0.5000 0.5000  6 Pd 2.18
Sm 0.0000 0.0000 0.0000  12 Pd 3.08
Pd 0.5000 0.0000 0.5000  2 B 2.18
Pd 0.5000 0.5000 0.0000  2 B 2.18
Pd 0.0000 0.5000 0.5000  2 B 2.18

Space-group type: Pm-3m
Density (g/cm³): 9.65
Total magnetization (μB/atom): 0.000
Density of states at the Fermi level (states/eV/cell): 4.2
Energy of formation from the pure elements (meV/atom): -577


No. 7
Below is a geometry-optimized ZnSi5 structure, with properties calculated at the PBE level.

a b c (Å): 2.6345 2.6345 12.8475
angles (deg): 90.00 90.00 90.00
Last column: nearest neighbours and their distance in Å.
Fractional positions:
Si 0.0000 0.0000 0.8276  8 Si 2.63-2.81, 4 Zn 2.89
Si 0.0000 0.0000 0.5000  12 Si 2.63-2.81
Zn 0.5000 0.5000 0.0000  4 Zn 2.63, 8 Si 2.89
Si 0.5000 0.5000 0.6639  12 Si 2.63-2.81
Si 0.5000 0.5000 0.3361  12 Si 2.63-2.81
Si 0.0000 0.0000 0.1724  8 Si 2.63-2.81, 4 Zn 2.89

ΔE_f (raw) (eV/f.u.): 2.7
E above lowest polymorph (meV/atom): 115.8
Space-group type: P4/mmm
Density (g/cm³): 3.83
Total magnetization (μB/atom): 0.000
Density of states at the Fermi level (states/eV/cell): 2.2


No. 8
Below is a geometry-optimized KCd2Ni structure, with properties calculated at the PBE level.

a b c (Å): 3.6801 5.0355 5.0655
angles (deg): 90.00 90.00 90.00
Last column: nearest neighbours and their distance in Å.
Fractional positions:
Cd 0.5000 0.5000 0.0000  4 Cd 3.12, 4 Ni 3.13
K 0.5000 0.0000 0.5000  4 Ni 3.12, 4 Cd 3.13
Cd 0.0000 0.0000 0.0000  4 Cd 3.12, 4 K 3.13
Ni 0.0000 0.5000 0.5000  4 K 3.12, 4 Cd 3.13

E above lowest polymorph (meV/atom): 391.1
Space-group type: Pmmm
Density (g/cm³): 5.71
Total magnetization (μB/atom): 0.000
Density of states at the Fermi level (states/eV/cell): 2.5
Energy of formation from the pure elements (meV/atom): 493